# LiAcVF6

A relaxed LiAcVF6 crystal (PBE with a Hubbard U, Alexandria via LeMat-Bulk).

abc: 5.3316 5.4133 5.4133
angles: 120.00 90.00 90.00
With the nearest neighbours (Å) after each atom.
Fractional positions:
Li: 0.5000 0.0000 0.0000  6 F 2.09
Ac: 0.0000 0.3333 0.6667  6 F 2.44
V: 0.5000 0.6667 0.3333  6 F 2.11
F: 0.7206 0.6929 0.6702  1 Li 2.09, 1 V 2.11
F: 0.7206 0.3298 0.0227  1 Li 2.09, 1 V 2.11
F: 0.7206 0.9773 0.3071  1 Li 2.09, 1 V 2.11
F: 0.2794 0.3298 0.3071  1 Li 2.09, 1 V 2.11
F: 0.2794 0.6929 0.0227  1 Li 2.09, 1 V 2.11
F: 0.2794 0.9773 0.6702  1 Li 2.09, 1 V 2.11

Properties
DOS at the Fermi energy = 0.0000 states/eV per atom
crystal system = trigonal
M_tot = 3.000 μB/cell
total DFT energy (no corrections) = -55.135 eV per cell